Below is a relaxed structure of EuYCdCu, with properties calculated at the PBE level.

```
data_EuYCdCu
_chemical_formula_sum 'Eu1 Y1 Cd1 Cu1'
_space_group_name_H-M_alt 'P 1'
_space_group_IT_number 1
_cell_length_a 5.243
_cell_length_b 5.243
_cell_length_c 5.243
_cell_angle_alpha 60.00
_cell_angle_beta 60.00
_cell_angle_gamma 60.00
loop_
_space_group_symop_operation_xyz
'x,y,z'
loop_
_atom_site_label
_atom_site_fract_x
_atom_site_fract_y
_atom_site_fract_z
Y1 0.750 0.750 0.750
Cd1 0.000 0.000 0.000
Cu1 0.500 0.500 0.500
Eu1 0.250 0.250 0.250
```

Summary:
Calculated formation energy: -0.175 eV per atom
ρ: 6.8 g/cm3
V: 101.9 Å³ per cell
Total moment: 7.19 μB/cell
Final energy: -0.206 Ha/atom
Space-group type: F-43m (216)


Below is a relaxed structure of Cd3Cu5F12, with properties calculated at the PBE level.

```
data_Cd3Cu5F12
_chemical_formula_sum 'Cd12 Cu20 F48'
_space_group_name_H-M_alt 'P 1'
_space_group_IT_number 1
_cell_length_a 11.228
_cell_length_b 11.228
_cell_length_c 11.228
_cell_angle_alpha 109.47
_cell_angle_beta 109.47
_cell_angle_gamma 109.47
loop_
_space_group_symop_operation_xyz
'x,y,z'
loop_
_atom_site_label
_atom_site_fract_x
_atom_site_fract_y
_atom_site_fract_z
F1 0.456 0.673 0.089
F2 0.584 0.867 0.411
F3 0.133 0.717 0.544
F4 0.673 0.217 0.584
F5 0.911 0.084 0.867
F6 0.673 0.456 0.589
F7 0.916 0.827 0.783
F8 0.717 0.133 0.044
F9 0.416 0.283 0.327
F10 0.044 0.633 0.717
Cu1 0.125 0.375 0.250
Cu2 0.000 0.000 0.000
F11 0.089 0.173 0.456
Cu3 0.625 0.875 0.250
Cd1 0.250 0.125 0.375
Cd2 0.375 0.625 0.250
F12 0.283 0.867 0.956
F13 0.783 0.327 0.916
F14 0.783 0.456 0.367
F15 0.956 0.589 0.173
F16 0.589 0.633 0.416
Cu4 0.750 0.125 0.875
Cd3 0.875 0.750 0.125
F17 0.283 0.416 0.827
F18 0.217 0.544 0.633
F19 0.367 0.411 0.084
F20 0.173 0.084 0.717
Cd4 0.750 0.875 0.625
Cd5 0.375 0.750 0.625
Cu5 0.000 0.500 0.000
F21 0.411 0.367 0.584
F22 0.173 0.089 0.956
F23 0.217 0.673 0.084
F24 0.544 0.217 0.133
Cu6 0.250 0.875 0.125
F25 0.633 0.589 0.916
F26 0.367 0.956 0.783
Cd6 0.625 0.375 0.750
Cu7 0.375 0.250 0.125
Cu8 0.500 0.500 0.500
Cu9 0.250 0.375 0.625
Cd7 0.250 0.625 0.875
Cu10 0.500 0.500 0.000
F27 0.416 0.133 0.589
F28 0.956 0.367 0.283
Cu11 0.000 0.500 0.500
F29 0.089 0.916 0.133
Cu12 0.500 0.000 0.000
F30 0.584 0.717 0.673
Cu13 0.000 0.000 0.500
Cd8 0.125 0.250 0.875
F31 0.044 0.411 0.827
F32 0.867 0.584 0.911
F33 0.327 0.783 0.416
Cu14 0.750 0.625 0.375
F34 0.589 0.956 0.673
F35 0.827 0.916 0.283
F36 0.827 0.911 0.044
Cu15 0.875 0.250 0.625
F37 0.456 0.783 0.867
F38 0.084 0.911 0.367
Cd9 0.125 0.875 0.750
Cu16 0.625 0.750 0.875
Cd10 0.750 0.375 0.125
Cd11 0.625 0.250 0.375
F39 0.411 0.044 0.327
F40 0.867 0.283 0.456
Cd12 0.875 0.125 0.250
F41 0.911 0.827 0.544
F42 0.327 0.544 0.411
Cu17 0.875 0.625 0.750
F43 0.544 0.327 0.911
Cu18 0.375 0.125 0.750
F44 0.133 0.416 0.089
F45 0.084 0.173 0.217
Cu19 0.125 0.750 0.375
F46 0.717 0.584 0.173
F47 0.916 0.089 0.633
F48 0.633 0.044 0.217
Cu20 0.500 0.000 0.500
```

Summary:
ρ: 5.4 g/cm3
V: 1089.5 Å³ per cell
Total moment: 5.27 μB/cell
Final energy: -0.140 Ha/atom
Space-group type: Ia-3d (230)


Below is a relaxed structure of CdCuF3, with properties calculated at the PBE level.

```
data_CdCuF3
_chemical_formula_sum 'Cd1 Cu1 F3'
_space_group_name_H-M_alt 'P 1'
_space_group_IT_number 1
_cell_length_a 4.383
_cell_length_b 4.383
_cell_length_c 4.383
_cell_angle_alpha 90.00
_cell_angle_beta 90.00
_cell_angle_gamma 90.00
loop_
_space_group_symop_operation_xyz
'x,y,z'
loop_
_atom_site_label
_atom_site_fract_x
_atom_site_fract_y
_atom_site_fract_z
F1 0.000 0.500 0.000
F2 0.000 0.000 0.500
Cd1 0.000 0.000 0.000
F3 0.500 0.000 0.000
Cu1 0.500 0.500 0.500
```

Summary:
ρ: 4.6 g/cm3
V: 84.2 Å³ per cell
Total moment: 0.00 μB/cell
Final energy: -0.126 Ha/atom
Energy above the lowest structure with this stoichiometry: 34.1 kJ/mol of atoms
Space-group type: Pm-3m (221)


Below is a relaxed structure of Cd2CuF, with properties calculated at the PBE level.

```
data_Cd2CuF
_chemical_formula_sum 'Cd4 Cu2 F2'
_space_group_name_H-M_alt 'P 1'
_space_group_IT_number 1
_cell_length_a 6.737
_cell_length_b 6.737
_cell_length_c 5.728
_cell_angle_alpha 53.98
_cell_angle_beta 53.98
_cell_angle_gamma 90.00
loop_
_space_group_symop_operation_xyz
'x,y,z'
loop_
_atom_site_label
_atom_site_fract_x
_atom_site_fract_y
_atom_site_fract_z
F1 0.500 0.500 0.000
Cd1 0.600 0.125 0.250
Cu1 0.000 0.000 0.000
Cu2 0.750 0.250 0.500
F2 0.250 0.750 0.500
Cd2 0.875 0.850 0.750
Cd3 0.375 0.400 0.750
Cd4 0.150 0.625 0.250
```

Summary:
ρ: 7.1 g/cm3
V: 144.4 Å³ per cell
Total moment: 0.00 μB/cell
Final energy: -0.091 Ha/atom
Energy above the lowest structure with this stoichiometry: 0.0 kJ/mol of atoms
Space-group type: I-42d (122)


Below is a relaxed structure of Cd2Cu2F7, with properties calculated at the PBE level.

```
data_Cd2Cu2F7
_chemical_formula_sum 'Cd4 Cu4 F14'
_space_group_name_H-M_alt 'P 1'
_space_group_IT_number 1
_cell_length_a 7.434
_cell_length_b 7.434
_cell_length_c 7.434
_cell_angle_alpha 60.00
_cell_angle_beta 60.00
_cell_angle_gamma 60.00
loop_
_space_group_symop_operation_xyz
'x,y,z'
loop_
_atom_site_label
_atom_site_fract_x
_atom_site_fract_y
_atom_site_fract_z
Cu1 0.125 0.125 0.125
Cu2 0.625 0.125 0.125
F1 0.227 0.227 0.773
Cu3 0.125 0.625 0.125
Cu4 0.125 0.125 0.625
F2 0.477 0.023 0.023
Cd1 0.625 0.625 0.125
F3 0.773 0.227 0.773
F4 0.500 0.500 0.500
F5 0.477 0.477 0.023
Cd2 0.625 0.125 0.625
F6 0.773 0.773 0.227
F7 0.023 0.023 0.477
F8 0.773 0.227 0.227
F9 0.477 0.023 0.477
F10 0.227 0.773 0.773
Cd3 0.125 0.625 0.625
F11 0.750 0.750 0.750
F12 0.227 0.773 0.227
Cd4 0.625 0.625 0.625
F13 0.023 0.477 0.023
F14 0.023 0.477 0.477
```

Summary:
ρ: 5.5 g/cm3
V: 290.5 Å³ per cell
Total moment: 2.03 μB/cell
Final energy: -0.142 Ha/atom
Space-group type: Fd-3m (227)


Below is a relaxed structure of Cd4CuF10, with properties calculated at the PBE level.

```
data_Cd4CuF10
_chemical_formula_sum 'Cd4 Cu1 F10'
_space_group_name_H-M_alt 'P 1'
_space_group_IT_number 1
_cell_length_a 3.914
_cell_length_b 3.914
_cell_length_c 15.142
_cell_angle_alpha 82.58
_cell_angle_beta 82.58
_cell_angle_gamma 60.00
loop_
_space_group_symop_operation_xyz
'x,y,z'
loop_
_atom_site_label
_atom_site_fract_x
_atom_site_fract_y
_atom_site_fract_z
Cu1 0.000 0.000 0.000
Cd1 0.201 0.201 0.396
F1 0.654 0.654 0.039
F2 0.346 0.346 0.961
F3 0.254 0.254 0.239
F4 0.044 0.044 0.869
F5 0.448 0.448 0.656
F6 0.746 0.746 0.761
Cd2 0.604 0.604 0.187
F7 0.956 0.956 0.131
F8 0.149 0.149 0.553
Cd3 0.799 0.799 0.604
F9 0.552 0.552 0.344
F10 0.851 0.851 0.447
Cd4 0.396 0.396 0.813
```

Summary:
ρ: 5.9 g/cm3
V: 198.6 Å³ per cell
Total moment: 1.00 μB/cell
Final energy: -0.139 Ha/atom
Space-group type: R-3m (166)


Below is a relaxed structure of CdCu2F2, with properties calculated at the PBE level.

```
data_CdCu2F2
_chemical_formula_sum 'Cd1 Cu2 F2'
_space_group_name_H-M_alt 'P 1'
_space_group_IT_number 1
_cell_length_a 3.982
_cell_length_b 3.982
_cell_length_c 5.366
_cell_angle_alpha 68.22
_cell_angle_beta 68.22
_cell_angle_gamma 90.00
loop_
_space_group_symop_operation_xyz
'x,y,z'
loop_
_atom_site_label
_atom_site_fract_x
_atom_site_fract_y
_atom_site_fract_z
F1 0.354 0.354 0.292
Cu1 0.250 0.750 0.500
Cu2 0.750 0.250 0.500
Cd1 0.000 0.000 0.000
F2 0.646 0.646 0.708
```

Summary:
ρ: 6.4 g/cm3
V: 72.4 Å³ per cell
Total moment: 0.00 μB/cell
Final energy: -0.118 Ha/atom
Energy above the lowest structure with this stoichiometry: 0.0 kJ/mol of atoms
Space-group type: I4/mmm (139)


Below is a relaxed structure of Cd4Cu6F19, with properties calculated at the PBE level.

```
data_Cd4Cu6F19
_chemical_formula_sum 'Cd4 Cu6 F19'
_space_group_name_H-M_alt 'P 1'
_space_group_IT_number 1
_cell_length_a 7.925
_cell_length_b 7.925
_cell_length_c 7.925
_cell_angle_alpha 109.47
_cell_angle_beta 109.47
_cell_angle_gamma 109.47
loop_
_space_group_symop_operation_xyz
'x,y,z'
loop_
_atom_site_label
_atom_site_fract_x
_atom_site_fract_y
_atom_site_fract_z
F1 0.309 0.309 0.000
Cu1 0.500 0.832 0.332
F2 0.245 0.975 0.625
F3 0.691 0.691 0.000
F4 0.975 0.625 0.245
Cu2 0.832 0.332 0.500
F5 0.000 0.000 0.000
F6 0.000 0.309 0.309
F7 0.375 0.350 0.620
F8 0.380 0.730 0.755
Cu3 0.668 0.500 0.168
Cd1 0.000 0.709 0.000
F9 0.350 0.620 0.375
F10 0.270 0.650 0.025
Cu4 0.168 0.668 0.500
F11 0.309 0.000 0.309
Cd2 0.291 0.291 0.291
F12 0.620 0.375 0.350
Cu5 0.332 0.500 0.832
Cu6 0.500 0.168 0.668
F13 0.691 0.000 0.691
F14 0.650 0.025 0.270
Cd3 0.000 0.000 0.709
F15 0.755 0.380 0.730
F16 0.000 0.691 0.691
F17 0.625 0.245 0.975
F18 0.730 0.755 0.380
Cd4 0.709 0.000 0.000
F19 0.025 0.270 0.650
```

Summary:
ρ: 5.2 g/cm3
V: 383.1 Å³ per cell
Total moment: 5.00 μB/cell
Final energy: -0.144 Ha/atom
Space-group type: I23 (197)